La2CoTc, optimized geometry, DFT GGA-PBE; SG = Amm2, No. 38; E above lowest polymorph = 15 meV per atom
1.0
4.280 0.000 0.000
0.000 2.342 4.886
0.000 -2.342 4.886
La Co Tc
2 1 1
direct
0.000 0.000 0.000 La
0.500 0.303 0.303 La
0.500 0.597 0.597 Co
0.000 0.685 0.685 Tc

LaCoTc2, optimized geometry, DFT GGA-PBE; SG = Cmmm, No. 65; E above lowest polymorph = 193 meV per atom
1.0
2.412 -3.433 0.000
2.412 3.433 0.000
0.000 0.000 4.587
La Co Tc
1 1 2
direct
0.000 0.000 0.000 La
0.500 0.500 0.000 Co
0.326 0.674 0.500 Tc
0.674 0.326 0.500 Tc

LaCo4Tc, optimized geometry, DFT GGA-PBE; SG = F-43m, No. 216; electronic total energy = -7.054 eV/atom
1.0
0.000 3.538 3.538
3.538 0.000 3.538
3.538 3.538 0.000
La Co Tc
1 4 1
direct
0.000 0.000 0.000 La
0.129 0.624 0.624 Co
0.624 0.129 0.624 Co
0.624 0.624 0.129 Co
0.624 0.624 0.624 Co
0.250 0.250 0.250 Tc

LaCoTc2, optimized geometry, DFT GGA-PBE; SG = Imm2, No. 44; E above lowest polymorph = 397 meV per atom
1.0
-1.582 2.497 4.522
1.582 -2.497 4.522
1.582 2.497 -4.522
La Co Tc
1 1 2
direct
0.000 0.000 0.000 La
0.719 0.219 0.500 Co
0.282 0.782 0.500 Tc
0.500 0.500 0.000 Tc

La6Co2Tc, optimized geometry, DFT GGA-PBE; SG = P2_1/c, No. 14; electronic total energy = -6.056 eV/atom
1.0
7.043 0.000 0.000
0.000 6.608 0.000
-7.039 0.000 11.933
La Co Tc
12 4 2
direct
0.003 0.246 0.332 La
0.003 0.254 0.832 La
0.335 0.721 0.000 La
0.335 0.779 0.500 La
0.340 0.245 0.669 La
0.340 0.255 0.169 La
0.660 0.745 0.831 La
0.660 0.755 0.331 La
0.665 0.221 0.500 La
0.665 0.279 0.000 La
0.997 0.746 0.168 La
0.997 0.754 0.668 La
0.315 0.000 0.315 Co
0.315 0.500 0.815 Co
0.685 0.000 0.685 Co
0.685 0.500 0.185 Co
0.000 0.000 0.500 Tc
0.000 0.500 0.000 Tc

LaCoTc2, optimized geometry, DFT GGA-PBE; SG = Pmmm, No. 47; E above lowest polymorph = 378 meV per atom
1.0
3.198 0.000 0.000
0.000 4.406 0.000
0.000 0.000 4.931
La Co Tc
1 1 2
direct
0.000 0.000 0.000 La
0.500 0.500 0.000 Co
0.000 0.500 0.500 Tc
0.500 0.000 0.500 Tc

La2CoTc, optimized geometry, DFT GGA-PBE; SG = R-3m, No. 166; E above lowest polymorph = 441 meV per atom
1.0
1.806 1.043 8.083
-1.806 1.043 8.083
0.000 -2.086 8.083
La Co Tc
2 1 1
direct
0.244 0.244 0.244 La
0.756 0.756 0.756 La
0.500 0.500 0.500 Co
0.000 0.000 0.000 Tc

La2CoTc, optimized geometry, DFT GGA-PBE; SG = Fm-3m, No. 225; E above lowest polymorph = 242 meV per atom
1.0
0.000 3.542 3.542
3.542 0.000 3.542
3.542 3.542 0.000
La Co Tc
2 1 1
direct
0.250 0.250 0.250 La
0.750 0.750 0.750 La
0.000 0.000 0.000 Co
0.500 0.500 0.500 Tc

Which total magnetization belongs to each record? In order, 0.00; 0.00; 7.96; 1.27; 0.00; 1.34; 0.05; 0.84 Bohr magnetons per cell.